(1)
First-principles (GGA-PBE) data for crystalline Sm7Tm at its relaxed geometry, as listed in Alexandria via LeMat-Bulk.

Properties
spin magnetization: 0.00 μB/f.u.
theoretical density: 7.7 g/cm³
energy of formation from the pure elements: 0.012 eV/atom
crystal system: cubic

Cell: 7.2110 7.2110 7.2110 Å, 60.00 60.00 60.00°
With the nearest neighbours (Å) after each atom.
Element x y z (fractional)
Sm  0.0000  0.0000  0.0000  12 Sm 3.61
Sm  0.0000  0.0000  0.5000  2 Tm 3.61, 10 Sm 3.61
Sm  0.0000  0.5000  0.0000  2 Tm 3.61, 10 Sm 3.61
Sm  0.0000  0.5000  0.5000  2 Tm 3.61, 10 Sm 3.61
Sm  0.5000  0.0000  0.0000  2 Tm 3.61, 10 Sm 3.61
Sm  0.5000  0.0000  0.5000  2 Tm 3.61, 10 Sm 3.61
Sm  0.5000  0.5000  0.0000  2 Tm 3.61, 10 Sm 3.61
Tm  0.5000  0.5000  0.5000  12 Sm 3.61


(2)
First-principles (GGA-PBE) data for crystalline Pm2Al3ZnCu12 at its relaxed geometry, as listed in Alexandria via LeMat-Bulk.

Properties
spin magnetization: 0.00 μB/f.u.
theoretical density: 6.7 g/cm³
energy of formation from the pure elements: 0.076 eV/atom
crystal system: trigonal

Cell: 9.9578 9.9578 9.9578 Å, 35.54 35.54 35.54°
With the nearest neighbours (Å) after each atom.
Element x y z (fractional)
Pm  0.1491  0.1491  0.1491  12 Cu 3.09-3.38
Pm  0.8509  0.8509  0.8509  12 Cu 3.09-3.38
Al  0.0000  0.5000  0.5000  4 Cu 2.42
Al  0.5000  0.0000  0.5000  4 Cu 2.42
Al  0.5000  0.5000  0.0000  4 Cu 2.42
Zn  0.5000  0.5000  0.5000  6 Cu 2.47
Cu  0.0815  0.0815  0.6860  4 Cu 2.40-2.44, 2 Al 2.42
Cu  0.0815  0.6860  0.0815  4 Cu 2.40-2.44, 2 Al 2.42
Cu  0.1413  0.5751  0.5751  4 Cu 2.44-2.64, 1 Zn 2.47, 1 Al 2.73
Cu  0.3140  0.9185  0.9185  4 Cu 2.40-2.44, 2 Al 2.42
Cu  0.4249  0.4249  0.8587  4 Cu 2.44-2.64, 1 Zn 2.47, 1 Al 2.73
Cu  0.4249  0.8587  0.4249  4 Cu 2.44-2.64, 1 Zn 2.47, 1 Al 2.73
Cu  0.5751  0.1413  0.5751  4 Cu 2.44-2.64, 1 Zn 2.47, 1 Al 2.73
Cu  0.5751  0.5751  0.1413  4 Cu 2.44-2.64, 1 Zn 2.47, 1 Al 2.73
Cu  0.6860  0.0815  0.0815  4 Cu 2.40-2.44, 2 Al 2.42
Cu  0.8587  0.4249  0.4249  4 Cu 2.44-2.64, 1 Zn 2.47, 1 Al 2.73
Cu  0.9185  0.3140  0.9185  4 Cu 2.40-2.44, 2 Al 2.42
Cu  0.9185  0.9185  0.3140  4 Cu 2.40-2.44, 2 Al 2.42


(3)
First-principles (GGA-PBE) data for crystalline Ac4BCl5 at its relaxed geometry, as listed in Alexandria via LeMat-Bulk.

Properties
spin magnetization: 0.00 μB/f.u.
energy relative to the elements, uncorrected: -1.59 eV/atom
theoretical density: 5.4 g/cm³
crystal system: monoclinic

Cell: 9.8290 9.8290 8.6484 Å, 107.24 107.24 25.26°
With the nearest neighbours (Å) after each atom.
Element x y z (fractional)
Ac  0.0015  0.0015  0.2768  2 B 2.89, 4 Cl 3.07-3.21
Ac  0.3471  0.3471  0.3896  1 B 2.79, 4 Cl 2.99-3.07
Ac  0.6529  0.6529  0.6104  1 B 2.79, 4 Cl 2.99-3.07
Ac  0.9985  0.9985  0.7232  2 B 2.89, 4 Cl 3.07-3.21
B  0.5000  0.5000  0.5000  6 Ac 2.79-2.89
Cl  0.1660  0.1660  0.8588  3 Ac 2.99-3.07
Cl  0.1714  0.1714  0.3726  4 Ac 3.07-3.33
Cl  0.5000  0.5000  0.0000  4 Ac 3.21
Cl  0.8286  0.8286  0.6274  4 Ac 3.07-3.33
Cl  0.8340  0.8340  0.1412  3 Ac 2.99-3.07


(4)
First-principles (GGA-PBE) data for crystalline PrMg2OsN4 at its relaxed geometry, as listed in Alexandria via LeMat-Bulk.

Properties
spin magnetization: 0.45 μB/f.u.
energy relative to the elements, uncorrected: -0.37 eV/atom
theoretical density: 6.8 g/cm³
crystal system: orthorhombic

Cell: 6.0555 6.0555 10.8844 Å, 90.00 90.00 147.82°
With the nearest neighbours (Å) after each atom.
Element x y z (fractional)
Pr  0.0795  0.9205  0.7500  6 N 2.55-2.76
Pr  0.9205  0.0795  0.2500  6 N 2.55-2.76
Mg  0.3866  0.6134  0.5322  3 N 2.07-2.16
Mg  0.3866  0.6134  0.9678  3 N 2.07-2.16
Mg  0.6134  0.3866  0.0322  3 N 2.07-2.16
Mg  0.6134  0.3866  0.4678  3 N 2.07-2.16
Os  0.1806  0.8194  0.2500  4 N 1.83-2.01
Os  0.8194  0.1806  0.7500  4 N 1.83-2.01
N  0.0000  0.0000  0.0000  4 Mg 2.16
N  0.0000  0.0000  0.5000  4 Mg 2.16
N  0.2786  0.7214  0.1185  1 Os 1.83
N  0.2786  0.7214  0.3815  1 Os 1.83
N  0.4145  0.5855  0.7500  2 Os 2.01
N  0.5855  0.4145  0.2500  2 Os 2.01
N  0.7214  0.2786  0.6185  1 Os 1.83
N  0.7214  0.2786  0.8815  1 Os 1.83


(5)
First-principles (GGA-PBE) data for crystalline Sr3Ce2DySb6 at its relaxed geometry, as listed in Alexandria via LeMat-Bulk.

Properties
spin magnetization: 0.00 μB/f.u.
energy relative to the elements, uncorrected: -0.99 eV/atom
theoretical density: 5.8 g/cm³
crystal system: monoclinic

Cell: 7.9381 7.9381 8.0177 Å, 99.50 99.50 120.02°
With the nearest neighbours (Å) after each atom.
Element x y z (fractional)
Sr  0.0000  0.0000  0.0000  6 Sb 3.37
Sr  0.3335  0.6665  0.0000  6 Sb 3.37-3.38
Sr  0.6665  0.3335  0.0000  6 Sb 3.37-3.38
Ce  0.1665  0.8335  0.5000  6 Sb 3.14
Ce  0.8335  0.1665  0.5000  6 Sb 3.14
Dy  0.5000  0.5000  0.5000  6 Sb 3.14
Sb  0.0924  0.4257  0.2768  1 Dy 3.14, 2 Ce 3.14, 3 Sr 3.37-3.38
Sb  0.2414  0.2414  0.7236  1 Dy 3.14, 2 Ce 3.14, 3 Sr 3.37
Sb  0.4257  0.0924  0.2768  1 Dy 3.14, 2 Ce 3.14, 3 Sr 3.37-3.38
Sb  0.5743  0.9076  0.7232  1 Dy 3.14, 2 Ce 3.14, 3 Sr 3.37-3.38
Sb  0.7586  0.7586  0.2764  1 Dy 3.14, 2 Ce 3.14, 3 Sr 3.37
Sb  0.9076  0.5743  0.7232  1 Dy 3.14, 2 Ce 3.14, 3 Sr 3.37-3.38


(6)
First-principles (GGA-PBE) data for crystalline UPdN at its relaxed geometry, as listed in Alexandria via LeMat-Bulk.

Properties
spin magnetization: 0.00 μB/f.u.
energy relative to the elements, uncorrected: -0.47 eV/atom
theoretical density: 11.7 g/cm³
crystal system: hexagonal

Cell: 3.7542 3.7542 8.3676 Å, 90.00 90.00 120.00°
With the nearest neighbours (Å) after each atom.
Element x y z (fractional)
U  0.3333  0.6667  0.2500  3 N 2.17
U  0.6667  0.3333  0.7500  3 N 2.17
Pd  0.0000  0.0000  0.0000  6 U 3.01, 6 N 3.01
Pd  0.0000  0.0000  0.5000  6 N 3.01, 6 U 3.01
N  0.3333  0.6667  0.7500  3 U 2.17
N  0.6667  0.3333  0.2500  3 U 2.17


Q: Which value of theoretical density does entry 3 give?
A: 5.4 g/cm³


Q: Look up the spin magnetization of the fifth one.
A: 0.00 μB/f.u.


Q: spin magnetization of number 2 (Pm2Al3ZnCu12)?
A: 0.00 μB/f.u.